VASP calculation (PBE with a Hubbard U) on a relaxed Cd2MoClO4 crystal.

Values from the calculation:
Magnetic moment: 0.994 μB/f.u.
Final energy: -5.023 eV per atom

Cell lengths 3.205, 5.541, 8.480 Å; angles 79.44, 79.11, 73.19 degrees
Last column: magnetic moment on the atom in μB.
Positions (direct):
O 0.457 0.202 0.884  0.02
O 0.808 0.225 0.160  -0.04
O 0.192 0.775 0.840  -0.04
O 0.543 0.798 0.116  0.02
Cl 0.500 0.500 0.500  0.00
Mo 0.000 0.000 0.000  1.02
Cd 0.854 0.528 0.763  0.00
Cd 0.146 0.472 0.237  0.00